1.
Computed, not measured: a relaxed structure of MnNb2BAs at the GGA-PBEsol level of DFT.

Cell lengths 3.743, 4.809, 4.809 Å; angles 90.00, 90.00, 90.00 degrees
Sites, in units of the cell vectors:
Mn (0.500, 0.500, 0.500)
Nb (0.000, 0.500, 0.000)
As (0.000, 0.000, 0.000)
Nb (0.000, 0.000, 0.500)
B (0.500, 0.000, 0.000)

Crystal system = tetragonal
Space-group type = No. 123
Total magnetic moment = 2.5 Bohr magnetons per cell
Total energy = -37.14 eV per cell
Formation enthalpy at 0 K = 1.277 eV/atom

---

2.
Computed, not measured: a relaxed structure of MnBAsS2 at the GGA-PBEsol level of DFT.

Cell lengths 3.729, 4.458, 4.458 Å; angles 90.00, 90.00, 90.00 degrees
Sites, in units of the cell vectors:
B (0.500, 0.000, 0.000)
As (0.500, 0.500, 0.500)
S (0.000, 0.000, 0.500)
S (0.000, 0.500, 0.000)
Mn (0.000, 0.000, 0.000)

Crystal system = tetragonal
Uncorrected formation energy = 652 meV per atom
Space-group type = No. 123
Total magnetic moment = 1.1 Bohr magnetons per cell
Total energy = -27.39 eV per cell

---

3.
Computed, not measured: a relaxed structure of MnBAs2Se at the GGA-PBEsol level of DFT.

Cell lengths 4.455, 4.455, 4.847 Å; angles 90.00, 90.00, 90.00 degrees
Sites, in units of the cell vectors:
As (0.000, 0.500, 0.000)
Se (0.000, 0.000, 0.500)
Mn (0.000, 0.000, 0.000)
B (0.500, 0.500, 0.500)
As (0.500, 0.000, 0.000)

Crystal system = tetragonal
Uncorrected formation energy = 1165 meV per atom
Space-group type = No. 123
Total magnetic moment = 1.9 Bohr magnetons per cell
Total energy = -25.01 eV per cell

---

4.
Computed, not measured: a relaxed structure of BAsN2 at the GGA-PBEsol level of DFT.

Cell lengths 3.291, 3.291, 5.300 Å; angles 71.91, 71.91, 60.00 degrees
Sites, in units of the cell vectors:
B (0.000, 0.000, 0.000)
N (0.909, 0.909, 0.272)
N (0.091, 0.091, 0.728)
As (0.500, 0.500, 0.500)

E above lowest polymorph = 0.031 eV/atom
Crystal system = trigonal
Uncorrected formation energy = 109 meV per atom
Space-group type = No. 166
Total magnetic moment = 0.0 Bohr magnetons per cell
Total energy = -28.74 eV per cell

---

5.
Computed, not measured: a relaxed structure of BAsN2 at the GGA-PBEsol level of DFT.

Cell lengths 4.567, 4.776, 4.567 Å; angles 118.56, 90.00, 118.56 degrees
Sites, in units of the cell vectors:
N (0.625, 0.750, 0.238)
N (0.488, 0.250, 0.375)
As (0.000, 0.000, 0.000)
B (0.750, 0.500, 0.250)
B (0.500, 0.000, 0.500)
N (0.125, 0.750, 0.512)
As (0.250, 0.500, 0.750)
N (0.762, 0.250, 0.875)

E above lowest polymorph = 0.000 eV/atom
Crystal system = tetragonal
Uncorrected formation energy = 77 meV per atom
Space-group type = No. 122
Total magnetic moment = 0.0 Bohr magnetons per cell
Total energy = -57.73 eV per cell

---

6.
Computed, not measured: a relaxed structure of Na3BSbAsO7 at the GGA-PBEsol level of DFT.

Cell lengths 5.376, 6.991, 9.518 Å; angles 90.00, 93.93, 90.00 degrees
Sites, in units of the cell vectors:
O (0.757, 0.250, 0.926)
Na (0.253, 0.994, 0.237)
O (0.526, 0.250, 0.140)
Na (0.747, 0.494, 0.763)
Sb (0.224, 0.750, 0.661)
O (0.836, 0.561, 0.304)
O (0.164, 0.061, 0.696)
O (0.830, 0.750, 0.574)
As (0.723, 0.750, 0.398)
O (0.037, 0.750, 0.841)
Na (0.219, 0.250, 0.936)
B (0.743, 0.250, 0.066)
O (0.170, 0.250, 0.426)
As (0.277, 0.250, 0.602)
Na (0.781, 0.750, 0.064)
O (0.410, 0.750, 0.387)
O (0.836, 0.939, 0.304)
O (0.164, 0.439, 0.696)
Na (0.253, 0.506, 0.237)
O (0.243, 0.750, 0.074)
Na (0.747, 0.006, 0.763)
O (0.474, 0.750, 0.860)
O (0.590, 0.250, 0.613)
Sb (0.776, 0.250, 0.339)
O (0.963, 0.250, 0.159)
B (0.257, 0.750, 0.934)

Crystal system = monoclinic
Uncorrected formation energy = -1740 meV per atom
Space-group type = No. 11
Total magnetic moment = 0.0 Bohr magnetons per cell
Total energy = -160.50 eV per cell

---

7.
Computed, not measured: a relaxed structure of Na2SnBAsO7 at the GGA-PBEsol level of DFT.

Cell lengths 5.426, 6.851, 9.747 Å; angles 90.00, 94.68, 90.00 degrees
Sites, in units of the cell vectors:
Na (0.241, 0.010, 0.830)
O (0.470, 0.750, 0.200)
O (0.176, 0.446, 0.334)
B (0.276, 0.750, 0.089)
Sn (0.781, 0.250, 0.656)
O (0.824, 0.946, 0.666)
O (0.134, 0.250, 0.588)
B (0.724, 0.250, 0.911)
O (0.176, 0.054, 0.334)
O (0.581, 0.250, 0.468)
O (0.044, 0.750, 0.148)
O (0.685, 0.250, 0.042)
As (0.737, 0.750, 0.566)
As (0.263, 0.250, 0.434)
O (0.315, 0.750, 0.958)
Na (0.759, 0.990, 0.170)
Na (0.241, 0.490, 0.830)
O (0.956, 0.250, 0.852)
O (0.866, 0.750, 0.412)
O (0.530, 0.250, 0.800)
Sn (0.219, 0.750, 0.344)
O (0.824, 0.554, 0.666)
O (0.419, 0.750, 0.532)
Na (0.759, 0.510, 0.170)

Crystal system = monoclinic
Uncorrected formation energy = -1727 meV per atom
Space-group type = No. 11
Total magnetic moment = 0.1 Bohr magnetons per cell
Total energy = -153.30 eV per cell

---

8.
Computed, not measured: a relaxed structure of Na2VBAsO7 at the GGA-PBEsol level of DFT.

Cell lengths 5.523, 6.497, 9.255 Å; angles 90.00, 94.22, 90.00 degrees
Sites, in units of the cell vectors:
O (0.820, 0.250, 0.945)
O (0.550, 0.250, 0.145)
O (0.687, 0.956, 0.337)
O (0.045, 0.750, 0.796)
O (0.085, 0.750, 0.480)
Na (0.735, 0.991, 0.800)
O (0.955, 0.250, 0.204)
O (0.375, 0.250, 0.401)
O (0.915, 0.250, 0.520)
O (0.450, 0.750, 0.855)
As (0.774, 0.750, 0.444)
O (0.687, 0.544, 0.337)
Na (0.735, 0.509, 0.800)
O (0.625, 0.750, 0.599)
Na (0.265, 0.491, 0.200)
O (0.313, 0.044, 0.663)
Na (0.265, 0.009, 0.200)
V (0.716, 0.250, 0.333)
O (0.180, 0.750, 0.055)
O (0.313, 0.456, 0.663)
B (0.224, 0.750, 0.919)
As (0.226, 0.250, 0.556)
B (0.776, 0.250, 0.081)
V (0.284, 0.750, 0.667)

Crystal system = monoclinic
Uncorrected formation energy = -1882 meV per atom
Space-group type = No. 11
Total magnetic moment = 2.0 Bohr magnetons per cell
Total energy = -167.78 eV per cell

---

9.
Computed, not measured: a relaxed structure of NaBAs2Pt at the GGA-PBEsol level of DFT.

Cell lengths 4.120, 4.559, 4.559 Å; angles 90.00, 90.00, 90.00 degrees
Sites, in units of the cell vectors:
Na (0.500, 0.500, 0.500)
B (0.000, 0.000, 0.000)
As (0.000, 0.000, 0.500)
Pt (0.500, 0.000, 0.000)
As (0.000, 0.500, 0.000)

Crystal system = tetragonal
Space-group type = No. 123
Total magnetic moment = 0.0 Bohr magnetons per cell
Total energy = -24.23 eV per cell
Formation enthalpy at 0 K = 0.272 eV/atom

---

10.
Computed, not measured: a relaxed structure of NaB2AsRh at the GGA-PBEsol level of DFT.

Cell lengths 3.992, 3.992, 5.258 Å; angles 90.00, 90.00, 90.00 degrees
Sites, in units of the cell vectors:
As (0.500, 0.500, 0.500)
B (0.000, 0.500, 0.000)
B (0.500, 0.000, 0.000)
Na (0.000, 0.000, 0.500)
Rh (0.000, 0.000, 0.000)

Crystal system = tetragonal
Space-group type = No. 123
Total magnetic moment = 0.1 Bohr magnetons per cell
Total energy = -23.71 eV per cell
Formation enthalpy at 0 K = 0.993 eV/atom

---

11.
Computed, not measured: a relaxed structure of NaB2AsRu at the GGA-PBEsol level of DFT.

Cell lengths 3.987, 3.987, 5.316 Å; angles 90.00, 90.00, 90.00 degrees
Sites, in units of the cell vectors:
As (0.500, 0.500, 0.500)
Na (0.000, 0.000, 0.500)
Ru (0.000, 0.000, 0.000)
B (0.000, 0.500, 0.000)
B (0.500, 0.000, 0.000)

Crystal system = tetragonal
Space-group type = No. 123
Total magnetic moment = 0.0 Bohr magnetons per cell
Total energy = -24.61 eV per cell
Formation enthalpy at 0 K = 1.220 eV/atom

---

12.
Computed, not measured: a relaxed structure of NaBAsSe2 at the GGA-PBEsol level of DFT.

Cell lengths 4.050, 4.823, 4.823 Å; angles 90.00, 90.00, 90.00 degrees
Sites, in units of the cell vectors:
Na (0.500, 0.500, 0.500)
As (0.500, 0.000, 0.000)
B (0.000, 0.000, 0.000)
Se (0.000, 0.500, 0.000)
Se (0.000, 0.000, 0.500)

E above lowest polymorph = 0.000 eV/atom
Crystal system = tetragonal
Uncorrected formation energy = 288 meV per atom
Space-group type = No. 123
Total magnetic moment = 0.0 Bohr magnetons per cell
Total energy = -19.78 eV per cell